(1)
A plane-wave DFT calculation with GGA-PBE was carried out for a relaxed structure of Na6CrBr8.

Calculated values
The calculation puts the formation energy from raw total energies at -1363 meV/atom. The calculation puts the total energy at -3.425 eV/atom.

Geometry as CIF:
```
data_Na6CrBr8
_chemical_formula_sum 'Na24 Cr4 Br32'
_cell_length_a 11.970
_cell_length_b 11.970
_cell_length_c 11.970
_cell_angle_alpha 90.00
_cell_angle_beta 90.00
_cell_angle_gamma 90.00
_symmetry_space_group_name_H-M 'F m -3 m'
_symmetry_Int_Tables_number 225
_symmetry_space_group_name_Hall '-F 4 2 3'
loop_
_atom_site_label
_atom_site_type_symbol
_atom_site_fract_x
_atom_site_fract_y
_atom_site_fract_z
_atom_site_occupancy
Na1 Na 0.000 0.250 0.250 1
Cr1 Cr 0.000 0.000 0.000 1
Br1 Br 0.000 0.000 0.226 1
Br2 Br 0.250 0.250 0.250 1
```

=====

(2)
A plane-wave DFT calculation with GGA-PBE was carried out for a relaxed structure of Ho3Sc2Tl4.

Calculated values
Its energy relative to the elements is -1.0 eV per formula unit. The calculation puts the total energy at -4.091 eV/atom.

Geometry as CIF:
```
data_Ho3Sc2Tl4
_chemical_formula_sum 'Ho12 Sc8 Tl16'
_cell_length_a 6.977
_cell_length_b 14.722
_cell_length_c 9.868
_cell_angle_alpha 90.00
_cell_angle_beta 90.00
_cell_angle_gamma 90.00
_symmetry_space_group_name_H-M 'C m c e'
_symmetry_Int_Tables_number 64
_symmetry_space_group_name_Hall '-C 2ac 2'
loop_
_atom_site_label
_atom_site_type_symbol
_atom_site_fract_x
_atom_site_fract_y
_atom_site_fract_z
_atom_site_occupancy
Ho1 Ho 0.000 0.000 0.000 1
Ho2 Ho 0.250 0.216 0.250 1
Sc1 Sc 0.000 0.101 0.534 1
Tl1 Tl 0.000 0.203 0.983 1
Tl2 Tl 0.250 0.007 0.750 1
```

=====

(3)
A plane-wave DFT calculation with GGA-PBE was carried out for a relaxed structure of Dy4HoMg3.

Calculated values
Its energy relative to the elements is -0.1 eV per formula unit. The calculation puts the total energy at -3.482 eV/atom.

Geometry as CIF:
```
data_Dy4HoMg3
_chemical_formula_sum 'Dy4 Ho1 Mg3'
_cell_length_a 3.785
_cell_length_b 5.434
_cell_length_c 10.992
_cell_angle_alpha 90.00
_cell_angle_beta 90.00
_cell_angle_gamma 90.00
_symmetry_space_group_name_H-M 'P m m m'
_symmetry_Int_Tables_number 47
loop_
_symmetry_equiv_pos_as_xyz
'x,y,z'
'-x,-y,-z'
'-x,-y,z'
'x,y,-z'
'x,-y,-z'
'-x,y,z'
'-x,y,-z'
'x,-y,z'
loop_
_atom_site_label
_atom_site_type_symbol
_atom_site_fract_x
_atom_site_fract_y
_atom_site_fract_z
_atom_site_occupancy
Dy1 Dy 0.000 0.000 0.000 1
Dy2 Dy 0.000 0.000 0.500 1
Dy3 Dy 0.000 0.500 0.239 1
Ho1 Ho 0.500 0.500 0.500 1
Mg1 Mg 0.500 0.000 0.249 1
Mg2 Mg 0.500 0.500 0.000 1
```

=====

(4)
A plane-wave DFT calculation with GGA-PBE was carried out for a relaxed structure of Nd3CoPb.

Calculated values
Its energy relative to the elements is -1.2 eV per formula unit. The calculation puts the total energy at -5.268 eV/atom.

Geometry as CIF:
```
data_Nd3CoPb
_chemical_formula_sum 'Nd6 Co2 Pb2'
_cell_length_a 6.365
_cell_length_b 6.447
_cell_length_c 7.144
_cell_angle_alpha 80.12
_cell_angle_beta 80.94
_cell_angle_gamma 80.43
_symmetry_space_group_name_H-M 'P -1'
_symmetry_Int_Tables_number 2
loop_
_symmetry_equiv_pos_as_xyz
'x,y,z'
'-x,-y,-z'
loop_
_atom_site_label
_atom_site_type_symbol
_atom_site_fract_x
_atom_site_fract_y
_atom_site_fract_z
_atom_site_occupancy
Nd1 Nd 0.099 0.333 0.217 1
Nd2 Nd 0.364 0.784 0.985 1
Nd3 Nd 0.386 0.764 0.475 1
Co1 Co 0.310 0.453 0.804 1
Pb1 Pb 0.093 0.170 0.702 1
```